[1]
# ThZn11Si

A relaxed structure of ThZn11Si (GGA-PBE, the Alexandria database).

abc: 5.4115 12.6862 6.6794
angles: 90.00 112.36 90.00
Closest atoms and distances in Å follow each position.
Space group C2/m (No. 12)
Inequivalent atoms, fractional coordinates:
1 Th 0.0000 0.0000 0.0000 (multiplicity 2)  18 Zn 3.16-3.45, 2 Si 3.34
2 Zn 0.0000 0.5000 0.5000 (multiplicity 2)  8 Zn 2.57-2.79, 2 Si 2.71
3 Zn 0.1034 0.3911 0.2164 (multiplicity 8)  7 Zn 2.57-2.83, 1 Si 2.65
4 Zn 0.1774 0.1783 0.3563 (multiplicity 8)  6 Zn 2.54-2.83, 1 Si 2.77
5 Zn 0.2500 0.2500 0.0000 (multiplicity 4)  10 Zn 2.61-2.77
6 Si 0.0000 0.0000 0.5000 (multiplicity 2)  10 Zn 2.65-2.77

## Properties
Energy relative to the elements, uncorrected = -128 kJ/mol of formula units

[2]
# ThZn3Si2

A relaxed structure of ThZn3Si2 (GGA-PBE, the Alexandria database).

abc: 15.0056 4.2591 8.3451
angles: 90.00 122.44 90.00
Closest atoms and distances in Å follow each position.
Space group C2/m (No. 12)
Inequivalent atoms, fractional coordinates:
1 Th 0.1494 0.0000 0.2265 (multiplicity 4)  7 Si 3.01-3.19, 3 Zn 3.20-3.28
2 Zn 0.0624 0.0000 0.7512 (multiplicity 4)  3 Si 2.51-2.62, 1 Zn 2.71
3 Zn 0.0819 0.5000 0.4688 (multiplicity 4)  3 Si 2.46-2.55
4 Zn 0.2240 0.5000 0.0354 (multiplicity 4)  3 Zn 2.45-2.71, 2 Si 2.51
5 Si 0.0285 0.5000 0.8930 (multiplicity 4)  1 Si 2.36, 4 Zn 2.51-2.62
6 Si 0.1730 0.0000 0.6087 (multiplicity 4)  4 Zn 2.46-2.51

## Properties
Energy relative to the elements, uncorrected = -144 kJ/mol of formula units